NaErPO4F (PBE, relaxed); symmetry = C2/m; DOS(E_F) = 0.0 states/eV/cell; E_tot = -7.088 eV/atom; crystal system = monoclinic
1.0
5.6703 0.0018 -0.0001
1.4130 5.4914 -0.0001
1.4316 1.1102 6.2384
O Er Na P F
8 2 2 2 2
direct
0.3728 0.0199 0.8455 O
0.2557 0.2557 0.4895 O
0.0193 0.0193 0.2686 O
0.9807 0.9807 0.7314 O
0.0199 0.3728 0.8455 O
0.9801 0.6272 0.1545 O
0.6272 0.9801 0.1545 O
0.7443 0.7443 0.5105 O
0.7170 0.7170 0.8842 Er
0.2830 0.2830 0.1158 Er
0.2925 0.7075 0.5000 Na
0.7075 0.2925 0.5000 Na
0.1540 0.1540 0.7242 P
0.8460 0.8460 0.2758 P
0.4825 0.4825 0.8119 F
0.5175 0.5175 0.1881 F